Model one:
Density functional theory data (PBE-GGA) for V3CrW2 after structural relaxation.

Cell lengths 2.639, 8.979, 7.533 Å; angles 90.54, 91.48, 72.96 degrees
Fractional positions:
W 0.956 0.993 0.325
W 0.459 0.491 0.325
W 0.541 0.993 0.675
W 0.044 0.491 0.675
Cr 0.753 0.489 0.000
Cr 0.247 0.995 0.000
V 0.679 0.242 0.842
V 0.321 0.242 0.158
V 0.000 0.742 0.500
V 0.000 0.242 0.500
V 0.195 0.742 0.846
V 0.805 0.742 0.154

Computed properties:
Density: 11.15 Mg/m³
Magnetization: 0.0 μB/f.u.
N(E_F): 11.96 states/eV/cell
SG: No. 2

=====

Model two:
Density functional theory data (PBE-GGA) for V3CrW2 after structural relaxation.

Cell lengths 6.118, 6.718, 6.718 Å; angles 142.45, 90.00, 90.00 degrees
Fractional positions:
V 0.970 0.839 0.161
V 0.970 0.161 0.839
V 0.470 0.839 0.161
V 0.470 0.161 0.839
V 0.970 0.500 0.500
V 0.470 0.500 0.500
W 0.720 0.665 0.335
W 0.720 0.335 0.665
W 0.220 0.665 0.335
W 0.220 0.335 0.665
Cr 0.720 0.000 0.000
Cr 0.220 0.000 0.000

Computed properties:
Density: 11.30 Mg/m³
Magnetization: 0.0 μB/f.u.
N(E_F): 14.20 states/eV/cell
SG: No. 65

=====

Tell me which of them is the least stable. Sure, it is model one.